1.
TlCdBi3: optimized geometry, GGA-PBE.

As for the formation energy from the elements: 2.32 eV per formula unit. Its density of states at the Fermi level is 0.8243 states/eV per atom. As for the calculated volume: 190.8 Å³/cell. The calculation puts the total energy at -12.606 eV per cell.

It has space group Pm-3m (No. 221), with a = 5.757 Å, b = 5.757 Å, c = 5.757 Å, α = 90.00°, β = 90.00° and γ = 90.00°. The distinct sites, in fractional coordinates, are Tl at (0.000, 0.000, 0.000), Cd at (0.500, 0.500, 0.500) and Bi at (0.000, 0.500, 0.500).



2.
SbOF3: optimized geometry, GGA-PBE.

Its density of states at the Fermi level is 3.8221 states/eV per atom. As for the calculated volume: 83.4 Å³/cell. The calculation puts the total energy at -20.652 eV per cell.

It has space group Pm-3m (No. 221), with a = 4.370 Å, b = 4.370 Å, c = 4.370 Å, α = 90.00°, β = 90.00° and γ = 90.00°. The distinct sites, in fractional coordinates, are Sb at (0.000, 0.000, 0.000), O at (0.500, 0.500, 0.500) and F at (0.000, 0.000, 0.500).



3.
Li4TeIr: optimized geometry, GGA-PBE.

Its density of states at the Fermi level is 0.1993 states/eV per atom. As for the calculated volume: 338.7 Å³/cell. The calculation puts the total energy at -81.283 eV per cell.

It has space group F-43m (No. 216), with a = 6.971 Å, b = 6.971 Å, c = 6.971 Å, α = 90.00°, β = 90.00° and γ = 90.00°. The distinct sites, in fractional coordinates, are Li at (0.122, 0.122, 0.378), Te at (0.000, 0.000, 0.000) and Ir at (0.250, 0.250, 0.750).



4.
CuIrRhO2: optimized geometry, GGA-PBE.

Its density of states at the Fermi level is 1.1774 states/eV per atom. As for the calculated volume: 72.2 Å³/cell. The calculation puts the total energy at -28.287 eV per cell.

It has space group P4/mmm (No. 123), with a = 3.729 Å, b = 3.729 Å, c = 5.194 Å, α = 90.00°, β = 90.00° and γ = 90.00°. The distinct sites, in fractional coordinates, are Cu at (0.000, 0.000, 0.000), Ir at (0.000, 0.000, 0.500), Rh at (0.500, 0.500, 0.000) and O at (0.000, 0.500, 0.500).



5.
RbLi6I8: optimized geometry, GGA-PBE.

Its density of states at the Fermi level is 1.4510 states/eV per atom. As for the calculated volume: 1586.8 Å³/cell. The calculation puts the total energy at -122.699 eV per cell.

It has space group R-3 (No. 148, hexagonal axes), with a = 11.5336 Å, b = 11.5336 Å, c = 13.7737 Å, α = 90.00°, β = 90.00° and γ = 120.00°. The distinct sites, in fractional coordinates, are Rb at (0.0000, 0.0000, 0.0000), Li at (0.0105, 0.2094, 0.3870), I at (0.0000, 0.0000, 0.2712) and I at (0.0217, 0.3874, 0.2470).



6.
La3Zn4Ag2: optimized geometry, GGA-PBE.

As for the formation energy from the elements: -3.05 eV per formula unit. Its density of states at the Fermi level is 0.7500 states/eV per atom. As for the calculated volume: 421.7 Å³/cell. The calculation puts the total energy at -57.255 eV per cell.

It has space group C2/m (No. 12), with a = 10.961 Å, b = 4.734 Å, c = 8.978 Å, α = 90.00°, β = 115.14° and γ = 90.00°. The distinct sites, in fractional coordinates, are La at (0.000, 0.000, 0.000), La at (0.169, 0.500, 0.667), Zn at (0.046, 0.000, 0.383), Zn at (0.229, 0.500, 0.058) and Ag at (0.109, 0.500, 0.275).



7.
SrTcP2: optimized geometry, GGA-PBE.

As for the formation energy from the elements: 1.53 eV per formula unit. Its density of states at the Fermi level is 0.6999 states/eV per atom. As for the calculated volume: 155.6 Å³/cell. The calculation puts the total energy at -42.679 eV per cell.

It has space group I-4m2 (No. 119), with a = 3.972 Å, b = 3.972 Å, c = 9.860 Å, α = 90.00°, β = 90.00° and γ = 90.00°. The distinct sites, in fractional coordinates, are Sr at (0.000, 0.000, 0.000), Tc at (0.000, 0.500, 0.750), P at (0.000, 0.000, 0.500) and P at (0.000, 0.500, 0.250).



8.
Be4Mo5: optimized geometry, GGA-PBE.

As for the formation energy from the elements: -0.41 eV per formula unit. Its density of states at the Fermi level is 0.5735 states/eV per atom. As for the calculated volume: 224.2 Å³/cell. The calculation puts the total energy at -138.947 eV per cell.

It has space group P6_3/mcm (No. 193), with a = 7.1755 Å, b = 7.1755 Å, c = 5.0283 Å, α = 90.00°, β = 90.00° and γ = 120.00°. The distinct sites, in fractional coordinates, are Be at (0.0000, 0.0000, 0.0000), Be at (0.0000, 0.3853, 0.2500), Mo at (0.0000, 0.2711, 0.7500) and Mo at (0.3333, 0.6667, 0.0000).



9.
Rh2SeI: optimized geometry, GGA-PBE.

Its density of states at the Fermi level is 1.2191 states/eV per atom. As for the calculated volume: 363.3 Å³/cell. The calculation puts the total energy at -77.275 eV per cell.

It has space group I-42d (No. 122), with a = 5.032 Å, b = 5.032 Å, c = 14.343 Å, α = 90.00°, β = 90.00° and γ = 90.00°. The distinct sites, in fractional coordinates, are Rh at (0.179, 0.250, 0.125), Se at (0.000, 0.000, 0.000) and I at (0.000, 0.000, 0.500).



10.
Li3AsAu: optimized geometry, GGA-PBE.

As for the formation energy from the elements: -2.72 eV per formula unit. Its density of states at the Fermi level is 0.1751 states/eV per atom. As for the calculated volume: 155.6 Å³/cell. The calculation puts the total energy at -32.783 eV per cell.

It has space group P-1 (No. 2), with a = 4.783 Å, b = 4.790 Å, c = 7.417 Å, α = 85.20°, β = 71.32° and γ = 75.20°. The distinct sites, in fractional coordinates, are Li at (0.054, 0.250, 0.393), Li at (0.249, 0.249, 0.000), Li at (0.445, 0.250, 0.608), As at (0.138, 0.750, 0.224) and Au at (0.357, 0.750, 0.786).



11.
LaPmI2N: optimized geometry, GGA-PBE.

Its density of states at the Fermi level is 0.5176 states/eV per atom. As for the calculated volume: 303.8 Å³/cell. The calculation puts the total energy at -53.982 eV per cell.

It has space group P4/nmm (No. 129, origin choice 2), with a = 4.387 Å, b = 4.387 Å, c = 15.783 Å, α = 90.00°, β = 90.00° and γ = 90.00°. The distinct sites, in fractional coordinates, are La at (0.250, 0.250, 0.086), Pm at (0.250, 0.250, 0.559), I at (0.250, 0.250, 0.290), I at (0.250, 0.250, 0.872) and N at (0.250, 0.750, 0.500).



12.
Pm2Pr2HoEr: optimized geometry, GGA-PBE.

As for the formation energy from the elements: 0.36 eV per formula unit. Its density of states at the Fermi level is 1.4895 states/eV per atom. As for the calculated volume: 402.3 Å³/cell. The calculation puts the total energy at -55.683 eV per cell.

It has space group Pmma (No. 51), with a = 7.094 Å, b = 5.721 Å, c = 9.914 Å, α = 90.00°, β = 90.00° and γ = 90.00°. The distinct sites, in fractional coordinates, are Pm at (0.250, 0.000, 0.164), Pm at (0.250, 0.500, 0.668), Pr at (0.000, 0.500, 0.000), Pr at (0.250, 0.000, 0.822), Ho at (0.250, 0.500, 0.341) and Er at (0.000, 0.000, 0.500).



13.
TaNb3Pd6: optimized geometry, GGA-PBE.

As for the formation energy from the elements: -2.09 eV per formula unit. Its density of states at the Fermi level is 0.7679 states/eV per atom. As for the calculated volume: 331.8 Å³/cell. The calculation puts the total energy at -150.616 eV per cell.

It has space group P2_1/m (No. 11), with a = 10.575 Å, b = 2.804 Å, c = 11.429 Å, α = 90.00°, β = 101.72° and γ = 90.00°. The distinct sites, in fractional coordinates, are Ta at (0.042, 0.250, 0.211), Nb at (0.086, 0.250, 0.586), Nb at (0.366, 0.750, 0.997), Nb at (0.414, 0.250, 0.398), Pd at (0.116, 0.250, 0.983), Pd at (0.187, 0.750, 0.410), Pd at (0.214, 0.750, 0.786), Pd at (0.266, 0.750, 0.193), Pd at (0.346, 0.250, 0.613) and Pd at (0.493, 0.750, 0.809).



14.
Ca2TmPuSe4: optimized geometry, GGA-PBE.

Its density of states at the Fermi level is 1.5657 states/eV per atom. As for the calculated volume: 201.4 Å³/cell. The calculation puts the total energy at -51.013 eV per cell.

It has space group P2/m (No. 10), with a = 7.158 Å, b = 4.126 Å, c = 7.226 Å, α = 90.00°, β = 109.26° and γ = 90.00°. The distinct sites, in fractional coordinates, are Ca at (0.000, 0.000, 0.000), Ca at (0.500, 0.500, 0.000), Tm at (0.000, 0.500, 0.500), Pu at (0.500, 0.000, 0.500), Se at (0.241, 0.000, 0.743) and Se at (0.245, 0.500, 0.253).



15.
Sm3TmCd: optimized geometry, GGA-PBE.

As for the formation energy from the elements: -0.09 eV per formula unit. Its density of states at the Fermi level is 1.4146 states/eV per atom. As for the calculated volume: 625.9 Å³/cell. The calculation puts the total energy at -78.550 eV per cell.

It has space group C2/m (No. 12), with a = 22.044 Å, b = 3.554 Å, c = 8.378 Å, α = 90.00°, β = 107.54° and γ = 90.00°. The distinct sites, in fractional coordinates, are Sm at (0.015, 0.000, 0.234), Sm at (0.122, 0.500, 0.045), Sm at (0.176, 0.000, 0.445), Tm at (0.232, 0.500, 0.819) and Cd at (0.078, 0.500, 0.602).



16.
FePBr2: optimized geometry, GGA-PBE.

Its density of states at the Fermi level is 0.8278 states/eV per atom. As for the calculated volume: 96.5 Å³/cell. The calculation puts the total energy at -17.412 eV per cell.

It has space group P4mm (No. 99), with a = 3.385 Å, b = 3.385 Å, c = 8.421 Å, α = 90.00°, β = 90.00° and γ = 90.00°. The distinct sites, in fractional coordinates, are Fe at (0.000, 0.000, 0.000), P at (0.500, 0.500, 0.930), Br at (0.000, 0.000, 0.274) and Br at (0.500, 0.500, 0.665).



17.
K2InRu: optimized geometry, GGA-PBE.

As for the formation energy from the elements: 3.30 eV per formula unit. Its density of states at the Fermi level is 0.3431 states/eV per atom. As for the calculated volume: 414.6 Å³/cell. The calculation puts the total energy at -43.629 eV per cell.

It has space group I-42d (No. 122), with a = 4.161 Å, b = 4.161 Å, c = 23.946 Å, α = 90.00°, β = 90.00° and γ = 90.00°. The distinct sites, in fractional coordinates, are K at (0.244, 0.250, 0.125), In at (0.000, 0.000, 0.500) and Ru at (0.000, 0.000, 0.000).



18.
MnZnPb4: optimized geometry, GGA-PBE.

As for the formation energy from the elements: 3.53 eV per formula unit. Its density of states at the Fermi level is 0.6076 states/eV per atom. As for the calculated volume: 741.4 Å³/cell. The calculation puts the total energy at -86.973 eV per cell.

It has space group F-43m (No. 216), with a = 9.051 Å, b = 9.051 Å, c = 9.051 Å, α = 90.00°, β = 90.00° and γ = 90.00°. The distinct sites, in fractional coordinates, are Mn at (0.000, 0.000, 0.000), Zn at (0.250, 0.250, 0.250) and Pb at (0.125, 0.125, 0.625).



19.
KVHg: optimized geometry, GGA-PBE.

As for the formation energy from the elements: 2.01 eV per formula unit. Its density of states at the Fermi level is 0.8677 states/eV per atom. As for the calculated volume: 186.8 Å³/cell. The calculation puts the total energy at -17.026 eV per cell.

It has space group P-6m2 (No. 187), with a = 5.3077 Å, b = 5.3077 Å, c = 7.6568 Å, α = 90.00°, β = 90.00° and γ = 120.00°. The distinct sites, in fractional coordinates, are K at (0.0000, 0.0000, 0.0000), K at (0.0000, 0.0000, 0.5000), V at (0.3333, 0.6667, 0.1194) and Hg at (0.6667, 0.3333, 0.1990).



20.
KZrSb: optimized geometry, GGA-PBE.

Its density of states at the Fermi level is 2.5468 states/eV per atom. As for the calculated volume: 397.7 Å³/cell. The calculation puts the total energy at -42.409 eV per cell.

It has space group F-43m (No. 216), with a = 7.354 Å, b = 7.354 Å, c = 7.354 Å, α = 90.00°, β = 90.00° and γ = 90.00°. The distinct sites, in fractional coordinates, are K at (0.000, 0.000, 0.000), Zr at (0.250, 0.250, 0.750) and Sb at (0.250, 0.250, 0.250).



21.
KCeAu10: optimized geometry, GGA-PBE.

As for the formation energy from the elements: -3.32 eV per formula unit. Its density of states at the Fermi level is 1.0260 states/eV per atom. As for the calculated volume: 263.1 Å³/cell. The calculation puts the total energy at -43.128 eV per cell.

It has space group Pmmm (No. 47), with a = 4.668 Å, b = 5.684 Å, c = 9.915 Å, α = 90.00°, β = 90.00° and γ = 90.00°. The distinct sites, in fractional coordinates, are K at (0.000, 0.000, 0.000), Ce at (0.000, 0.500, 0.500), Au at (0.000, 0.000, 0.337), Au at (0.000, 0.500, 0.173), Au at (0.500, 0.000, 0.500), Au at (0.500, 0.255, 0.257) and Au at (0.500, 0.500, 0.000).



22.
CsCe2Hg2Se6: optimized geometry, GGA-PBE.

Its density of states at the Fermi level is 0.6767 states/eV per atom. As for the calculated volume: 398.5 Å³/cell. The calculation puts the total energy at -45.719 eV per cell.

It has space group P-1 (No. 2), with a = 7.747 Å, b = 8.072 Å, c = 8.149 Å, α = 63.48°, β = 68.07° and γ = 63.57°. The distinct sites, in fractional coordinates, are Cs at (0.000, 0.000, 0.000), Ce at (0.326, 0.344, 0.004), Hg at (0.398, 0.740, 0.558), Se at (0.068, 0.672, 0.768), Se at (0.336, 0.533, 0.229) and Se at (0.474, 0.071, 0.781).



23.
CrFeMo2: optimized geometry, GGA-PBE.

As for the formation energy from the elements: 1.10 eV per formula unit. Its density of states at the Fermi level is 0.9096 states/eV per atom. As for the calculated volume: 54.8 Å³/cell. The calculation puts the total energy at -38.651 eV per cell.

It has space group P4/mmm (No. 123), with a = 2.639 Å, b = 2.639 Å, c = 7.873 Å, α = 90.00°, β = 90.00° and γ = 90.00°. The distinct sites, in fractional coordinates, are Cr at (0.000, 0.000, 0.000), Fe at (0.000, 0.000, 0.500) and Mo at (0.500, 0.500, 0.268).



24.
MnTcS: optimized geometry, GGA-PBE.

Its density of states at the Fermi level is 0.8251 states/eV per atom. As for the calculated volume: 74.0 Å³/cell. The calculation puts the total energy at -47.625 eV per cell.

It has space group P4/nmm (No. 129, origin choice 2), with a = 2.823 Å, b = 2.823 Å, c = 9.289 Å, α = 90.00°, β = 90.00° and γ = 90.00°. The distinct sites, in fractional coordinates, are Mn at (0.250, 0.250, 0.100), Tc at (0.250, 0.250, 0.406) and S at (0.250, 0.250, 0.781).